a:
The following is a DFT calculation (PBE-GGA) of an optimized crystal structure of UHRu.

The structure in extended XYZ format:
```
15
Lattice="-0.815 -3.340 0.858 3.346 -1.722 3.792 -2.689 2.272 13.609" Properties=species:S:1:pos:R:3 pbc="T T T"
Ru 2.775 -3.334 4.289
Ru 1.065 -0.357 14.255
Ru -0.265 -2.895 3.113
Ru 0.564 -0.886 11.722
Ru -1.509 -2.003 5.403
U -0.189 -0.100 6.748
U -0.703 -2.852 10.181
U -1.535 -0.148 12.599
U 1.238 -2.313 6.805
U -0.757 0.442 15.635
H -1.366 -1.604 14.411
H 0.272 -1.068 3.418
H 0.996 -1.423 10.039
H -1.121 -1.305 8.490
H 2.776 -1.403 4.494
```

Values from the calculation:
SG: Cm (8)
DOS(E_F), states/eV per atom: 1.128

---

b:
The following is a DFT calculation (PBE-GGA) of an optimized crystal structure of UHRu.

The structure in extended XYZ format:
```
3
Lattice="-3.574 0.550 0.703 -0.727 -3.408 -1.030 0.793 0.719 3.473" Properties=species:S:1:pos:R:3 pbc="T T T"
Ru -0.309 -0.565 2.089
U -2.604 -1.666 0.940
H -0.595 0.092 0.117
```

Values from the calculation:
SG: P-6m2 (187)
DOS(E_F), states/eV per atom: 1.552

---

Short version: a is the most stable of them.

---

a:
The following is a DFT calculation (PBE-GGA) of an optimized crystal structure of V2H2Ru.

The structure in extended XYZ format:
```
5
Lattice="2.853 0.000 0.000 0.000 2.853 0.000 0.000 0.000 5.873" Properties=species:S:1:pos:R:3 pbc="T T T"
V 1.426 1.426 4.225
V 1.426 1.426 1.648
H 1.426 0.000 2.937
H 0.000 1.426 2.937
Ru 0.000 0.000 0.000
```

Values from the calculation:
SG: P4/mmm (123)
DOS(E_F), states/eV per atom: 0.819

---

b:
The following is a DFT calculation (PBE-GGA) of an optimized crystal structure of V2H2Ru.

The structure in extended XYZ format:
```
5
Lattice="2.754 0.000 0.000 0.000 3.871 -0.373 -1.377 -1.529 4.331" Properties=species:S:1:pos:R:3 pbc="T T T"
V 0.000 0.278 2.820
V 1.377 2.064 1.138
H 1.377 0.146 1.492
H 0.000 2.196 2.466
Ru 0.000 0.000 0.000
```

Values from the calculation:
SG: C2/m (12)
DOS(E_F), states/eV per atom: 0.706

---

c:
The following is a DFT calculation (PBE-GGA) of an optimized crystal structure of V2H2Ru.

The structure in extended XYZ format:
```
10
Lattice="-1.212 3.299 4.524 -5.401 -1.909 -0.055 0.725 -2.100 1.725" Properties=species:S:1:pos:R:3 pbc="T T T"
Ru 0.000 0.000 0.000
Ru -3.307 0.695 2.235
V -3.340 -1.794 1.512
V -5.011 -0.521 3.763
V -2.549 1.084 4.683
V -0.878 -0.189 2.431
H -5.074 -0.456 1.576
H -4.504 1.609 3.850
H -1.540 1.846 2.893
H -2.109 -0.219 0.619
```

Values from the calculation:
SG: P4/mbm (127)
DOS(E_F), states/eV per atom: 1.045

---

Short version: b is the most stable of them.

---

a:
The following is a DFT calculation (PBE-GGA) of an optimized crystal structure of V2HRu.

The structure in extended XYZ format:
```
4
Lattice="-2.063 2.369 -2.120 -3.783 -0.215 0.054 -2.092 4.254 3.401" Properties=species:S:1:pos:R:3 pbc="T T T"
Ru -3.969 3.203 0.667
H 0.000 0.000 0.000
V -2.046 3.123 2.093
V -5.892 3.284 -0.758
```

Values from the calculation:
SG: R-3m (166)
DOS(E_F), states/eV per atom: 0.613

---

b:
The following is a DFT calculation (PBE-GGA) of an optimized crystal structure of V2HRu.

The structure in extended XYZ format:
```
4
Lattice="2.773 0.000 0.000 0.000 2.773 0.000 0.000 0.000 5.782" Properties=species:S:1:pos:R:3 pbc="T T T"
Ru 1.386 1.386 0.000
H 1.386 1.386 2.891
V 0.000 0.000 4.066
V 0.000 0.000 1.717
```

Values from the calculation:
SG: P4/mmm (123)
DOS(E_F), states/eV per atom: 0.964

---

c:
The following is a DFT calculation (PBE-GGA) of an optimized crystal structure of V2HRu.

The structure in extended XYZ format:
```
4
Lattice="0.000 2.890 2.890 2.890 0.000 2.890 2.890 2.890 0.000" Properties=species:S:1:pos:R:3 pbc="T T T"
Ru 2.890 2.890 2.890
V 1.445 1.445 1.445
V 4.335 4.335 4.335
H 0.000 0.000 0.000
```

Values from the calculation:
SG: Fm-3m (225)
DOS(E_F), states/eV per atom: 0.865

---

d:
The following is a DFT calculation (PBE-GGA) of an optimized crystal structure of V2HRu.

The structure in extended XYZ format:
```
8
Lattice="-1.693 0.999 -5.231 -5.154 -1.687 1.346 -4.120 2.379 -1.197" Properties=species:S:1:pos:R:3 pbc="T T T"
Ru 0.000 0.000 0.000
Ru -4.618 1.517 -4.185
V -2.580 0.919 -2.931
V -4.615 -0.245 -0.582
V -6.120 1.375 -2.234
V -8.618 1.334 -4.418
H -3.423 -0.344 -1.943
H -6.349 0.174 -0.897
```

Values from the calculation:
SG: I-42d (122)
DOS(E_F), states/eV per atom: 1.082

---

Short version: d is the most stable of them.